Entry 1:
# GGA-PBE K2YVW, optimized geometry
data_K2YVW
_symmetry_space_group_name_H-M 'P 4/m m m'
_symmetry_Int_Tables_number 123
_symmetry_space_group_name_Hall '-P 4 2'
_cell_length_a 5.863
_cell_length_b 5.863
_cell_length_c 5.776
_cell_angle_alpha 90.00
_cell_angle_beta 90.00
_cell_angle_gamma 90.00
loop_
_atom_site_label
_atom_site_fract_x
_atom_site_fract_y
_atom_site_fract_z
_atom_site_occupancy
K1 0.000 0.500 0.000 1
Y1 0.000 0.000 0.500 1
V1 0.000 0.000 0.000 1
W1 0.500 0.500 0.500 1
# - Fermi-level density of states: 6.15 states/eV per cell

=====

Entry 2:
# GGA-PBE KZr2VW, optimized geometry
data_KZr2VW
_symmetry_space_group_name_H-M 'P 4/m m m'
_symmetry_Int_Tables_number 123
_symmetry_space_group_name_Hall '-P 4 2'
_cell_length_a 5.211
_cell_length_b 5.211
_cell_length_c 4.556
_cell_angle_alpha 90.00
_cell_angle_beta 90.00
_cell_angle_gamma 90.00
loop_
_atom_site_label
_atom_site_fract_x
_atom_site_fract_y
_atom_site_fract_z
_atom_site_occupancy
K1 0.000 0.000 0.000 1
Zr1 0.000 0.500 0.500 1
V1 0.500 0.500 0.500 1
W1 0.500 0.500 0.000 1
# - Fermi-level density of states: 7.81 states/eV per cell

=====

Entry 3:
# GGA-PBE KY2V, optimized geometry
data_KY2V
_symmetry_space_group_name_H-M 'I -4 2 d'
_symmetry_Int_Tables_number 122
_symmetry_space_group_name_Hall 'I -4 2bw'
_cell_length_a 8.655
_cell_length_b 8.655
_cell_length_c 6.971
_cell_angle_alpha 90.00
_cell_angle_beta 90.00
_cell_angle_gamma 90.00
loop_
_atom_site_label
_atom_site_fract_x
_atom_site_fract_y
_atom_site_fract_z
_atom_site_occupancy
K1 0.000 0.000 0.000 1
Y1 0.205 0.250 0.625 1
V1 0.000 0.000 0.500 1
# - Fermi-level density of states: 16.54 states/eV per cell
# - Offset from the most stable computed form: 212 meV/atom

=====

Entry 4:
# GGA-PBE K3YV, optimized geometry
data_K3YV
_symmetry_space_group_name_H-M 'P m -3 m'
_symmetry_Int_Tables_number 221
_symmetry_space_group_name_Hall '-P 4 2 3'
_cell_length_a 6.456
_cell_length_b 6.456
_cell_length_c 6.456
_cell_angle_alpha 90.00
_cell_angle_beta 90.00
_cell_angle_gamma 90.00
loop_
_atom_site_label
_atom_site_fract_x
_atom_site_fract_y
_atom_site_fract_z
_atom_site_occupancy
K1 0.000 0.000 0.500 1
Y1 0.500 0.500 0.500 1
V1 0.000 0.000 0.000 1
# - Fermi-level density of states: 10.29 states/eV per cell
# - Offset from the most stable computed form: 0 meV/atom

=====

Per-record energy relative to the elements, eV/atom: 2.1677; 1.1823; 0.9739; 1.3035